No. 1
DFT (GGA-PBE) results for OsPd3Pt after structural relaxation.

Space group   Pm-3m, No. 221
M_tot   0.00 μB per atom
Distance to the lowest polymorph of the same formula   0.00 eV per formula unit
Formation energy   1509 meV/atom

abc: 4.734 4.734 4.734
angles: 90.00 90.00 90.00
Fractional positions:
Pt (0.500, 0.500, 0.500)
Pd (0.000, 0.500, 0.000)
Pd (0.000, 0.000, 0.500)
Pd (0.500, 0.000, 0.000)
Os (0.000, 0.000, 0.000)

---

No. 2
DFT (GGA-PBE) results for OsPdPt3 after structural relaxation.

Space group   Pm-3m, No. 221
M_tot   0.70 μB per atom
Distance to the lowest polymorph of the same formula   3.63 eV per formula unit
Formation energy   2127 meV/atom

abc: 4.752 4.752 4.752
angles: 90.00 90.00 90.00
Last column: magnetic moment on the atom in μB.
Fractional positions:
Pt (0.500, 0.000, 0.000)  0.28
Pt (0.000, 0.500, 0.000)  0.15
Pt (0.000, 0.000, 0.500)  0.14
Os (0.500, 0.500, 0.500)  2.56
Pd (0.000, 0.000, 0.000)  0.17

---

> formation energy of number 2 (OsPdPt3)?

2127 meV/atom

---

> Look up the formation energy of the second one.

2127 meV/atom

---

Please write out number 1 again, unchanged.
DFT (GGA-PBE) results for OsPd3Pt after structural relaxation.

Space group   Pm-3m, No. 221
M_tot   0.00 μB per atom
Distance to the lowest polymorph of the same formula   0.00 eV per formula unit
Formation energy   1509 meV/atom

abc: 4.734 4.734 4.734
angles: 90.00 90.00 90.00
Fractional positions:
Pt (0.500, 0.500, 0.500)
Pd (0.000, 0.500, 0.000)
Pd (0.000, 0.000, 0.500)
Pd (0.500, 0.000, 0.000)
Os (0.000, 0.000, 0.000)